Compound: VNiAs2O8
Source: Alexandria
Functional: PBE+U
Structure: relaxed

Calculated values
Magnetization = 6.00 Bohr magnetons per cell
Total DFT energy (no corrections) = -146.51 eV for the cell shown

Cell lengths 6.5916, 6.5916, 6.1366 Å; angles 90.00, 90.00, 90.00 degrees
Closest atoms and distances in Å follow each position.
Space group I-4m2 (No. 119)
Unique sites:
V (0.0000, 0.0000, 0.0000)  8 O 2.05-2.20
Ni (0.0000, 0.5000, 0.7500)  8 O 2.10-2.33
As (0.0000, 0.0000, 0.5000)  4 O 1.73
As (0.0000, 0.5000, 0.2500)  4 O 1.71
O (0.0000, 0.1841, 0.7012)  1 As 1.73
O (0.0000, 0.3050, 0.0660)  1 As 1.71